(1)
This record from Alexandria describes a relaxed Tl2Sb2Se crystal. The functional is PBE.

Lattice parameters (Å, degrees): 8.1770 8.1770 4.9885 90.00 90.00 90.00
Last column: nearest neighbours and their distance in Å.
Fractional coordinates of all 10 atoms:
Sb 0.8837 0.3837 0.5000  1 Sb 2.69
Sb 0.1163 0.6163 0.5000  1 Sb 2.69
Tl 0.3168 0.8168 0.0000  2 Se 2.99
Tl 0.8168 0.6832 0.0000  2 Se 2.99
Sb 0.3837 0.1163 0.5000  1 Sb 2.69
Sb 0.6163 0.8837 0.5000  1 Sb 2.69
Tl 0.1832 0.3168 0.0000  2 Se 2.99
Se 0.0000 0.0000 0.0000  4 Tl 2.99
Tl 0.6832 0.1832 0.0000  2 Se 2.99
Se 0.5000 0.5000 0.0000  4 Tl 2.99

Summary:
* calculated volume: 334 Å³/cell
* density of states at the Fermi level: 0.54 states/eV per atom
* energy above the lowest structure with this stoichiometry: 187.5 meV per atom
* DFT total energy: -30.896 eV for the cell shown
* uncorrected formation energy: 0.2028 eV/atom

=====

(2)
This record from Alexandria describes a relaxed La5Pd3Au12 crystal. The functional is PBE.

Lattice parameters (Å, degrees): 14.3466 14.3466 14.3466 109.47 109.47 109.47
Last column: nearest neighbours and their distance in Å.
Fractional coordinates of all 80 atoms:
La 0.8750 0.6250 0.7500  4 Au 2.90
Pd 0.7500 0.3750 0.1250  4 Au 2.71
Au 0.5638 0.6428 0.4010  1 Pd 2.71, 1 Au 2.78, 2 La 2.90-2.93
Pd 0.8750 0.7500 0.1250  4 Au 2.71
Au 0.3572 0.9210 0.7581  1 Pd 2.71, 1 Au 2.78, 2 La 2.90-2.93
Au 0.8371 0.9010 0.2581  1 Pd 2.71, 1 Au 2.78, 2 La 2.90-2.93
Pd 0.6250 0.3750 0.7500  4 Au 2.71
Au 0.4210 0.6629 0.0638  1 Pd 2.71, 1 Au 2.78, 2 La 2.90-2.93
Au 0.7581 0.3371 0.9010  1 Pd 2.71, 1 Au 2.78, 2 La 2.90-2.93
Au 0.8572 0.2581 0.4210  1 Pd 2.71, 1 Au 2.78, 2 La 2.90-2.93
Au 0.0638 0.9010 0.1428  1 Pd 2.71, 1 Au 2.78, 2 La 2.90-2.93
La 0.2500 0.3750 0.6250  4 Au 2.90
Au 0.5790 0.2419 0.1428  1 Pd 2.71, 1 Au 2.78, 2 La 2.90-2.93
Au 0.7419 0.5990 0.1629  1 Pd 2.71, 1 Au 2.78, 2 La 2.90-2.93
La 0.0000 0.5000 0.5000  6 Au 2.93
Au 0.4362 0.3572 0.5990  1 Pd 2.71, 1 Au 2.78, 2 La 2.90-2.93
Au 0.6629 0.2419 0.5990  1 Pd 2.71, 1 Au 2.78, 2 La 2.90-2.93
Au 0.1428 0.4010 0.0638  1 Pd 2.71, 1 Au 2.78, 2 La 2.90-2.93
La 0.3750 0.1250 0.7500  4 Au 2.90
Au 0.9210 0.5638 0.1629  1 Pd 2.71, 1 Au 2.78, 2 La 2.90-2.93
Au 0.0790 0.6428 0.7419  1 Pd 2.71, 1 Au 2.78, 2 La 2.90-2.93
Au 0.8572 0.5990 0.9362  1 Pd 2.71, 1 Au 2.78, 2 La 2.90-2.93
La 0.2500 0.8750 0.1250  4 Au 2.90
Pd 0.1250 0.2500 0.8750  4 Au 2.71
Pd 0.6250 0.2500 0.3750  4 Au 2.71
Pd 0.2500 0.1250 0.3750  4 Au 2.71
Au 0.1629 0.0638 0.9210  1 Pd 2.71, 1 Au 2.78, 2 La 2.90-2.93
La 0.6250 0.7500 0.8750  4 Au 2.90
Au 0.3371 0.5790 0.4362  1 Pd 2.71, 1 Au 2.78, 2 La 2.90-2.93
Au 0.1629 0.0990 0.7419  1 Pd 2.71, 1 Au 2.78, 2 La 2.90-2.93
Au 0.6428 0.5638 0.9010  1 Pd 2.71, 1 Au 2.78, 2 La 2.90-2.93
Au 0.4010 0.1428 0.5638  1 Pd 2.71, 1 Au 2.78, 2 La 2.90-2.93
Au 0.6428 0.0790 0.2419  1 Pd 2.71, 1 Au 2.78, 2 La 2.90-2.93
Au 0.9362 0.0990 0.8572  1 Pd 2.71, 1 Au 2.78, 2 La 2.90-2.93
Au 0.6629 0.4210 0.5638  1 Pd 2.71, 1 Au 2.78, 2 La 2.90-2.93
Au 0.9362 0.8371 0.5790  1 Pd 2.71, 1 Au 2.78, 2 La 2.90-2.93
Au 0.2581 0.8572 0.9210  1 Pd 2.71, 1 Au 2.78, 2 La 2.90-2.93
Au 0.0990 0.9362 0.3572  1 Pd 2.71, 1 Au 2.78, 2 La 2.90-2.93
La 0.5000 0.5000 0.5000  6 Au 2.93
Au 0.8371 0.9362 0.0790  1 Pd 2.71, 1 Au 2.78, 2 La 2.90-2.93
La 0.5000 0.5000 0.0000  6 Au 2.93
Au 0.4362 0.0790 0.3371  1 Pd 2.71, 1 Au 2.78, 2 La 2.90-2.93
Pd 0.2500 0.6250 0.8750  4 Au 2.71
La 0.1250 0.3750 0.2500  4 Au 2.90
Au 0.4210 0.7581 0.8572  1 Pd 2.71, 1 Au 2.78, 2 La 2.90-2.93
Au 0.7581 0.4210 0.3572  1 Pd 2.71, 1 Au 2.78, 2 La 2.90-2.93
La 0.3750 0.2500 0.1250  4 Au 2.90
La 0.0000 0.0000 0.0000  6 Au 2.93
Au 0.2419 0.6629 0.0990  1 Pd 2.71, 1 Au 2.78, 2 La 2.90-2.93
Au 0.4010 0.2581 0.3371  1 Pd 2.71, 1 Au 2.78, 2 La 2.90-2.93
La 0.7500 0.6250 0.3750  4 Au 2.90
La 0.5000 0.0000 0.5000  6 Au 2.93
Pd 0.1250 0.8750 0.7500  4 Au 2.71
Au 0.0790 0.4362 0.8371  1 Pd 2.71, 1 Au 2.78, 2 La 2.90-2.93
Pd 0.7500 0.8750 0.6250  4 Au 2.71
La 0.0000 0.5000 0.0000  6 Au 2.93
Pd 0.3750 0.6250 0.2500  4 Au 2.71
Au 0.5790 0.3371 0.9362  1 Pd 2.71, 1 Au 2.78, 2 La 2.90-2.93
Au 0.5990 0.7419 0.6629  1 Pd 2.71, 1 Au 2.78, 2 La 2.90-2.93
Au 0.2419 0.5790 0.6428  1 Pd 2.71, 1 Au 2.78, 2 La 2.90-2.93
La 0.1250 0.7500 0.3750  4 Au 2.90
Au 0.0638 0.1629 0.4210  1 Pd 2.71, 1 Au 2.78, 2 La 2.90-2.93
Au 0.9010 0.0638 0.6428  1 Pd 2.71, 1 Au 2.78, 2 La 2.90-2.93
La 0.7500 0.1250 0.8750  4 Au 2.90
Pd 0.8750 0.1250 0.2500  4 Au 2.71
Au 0.9010 0.8371 0.7581  1 Pd 2.71, 1 Au 2.78, 2 La 2.90-2.93
Au 0.2581 0.4010 0.8371  1 Pd 2.71, 1 Au 2.78, 2 La 2.90-2.93
Pd 0.3750 0.7500 0.6250  4 Au 2.71
Au 0.3572 0.4362 0.0990  1 Pd 2.71, 1 Au 2.78, 2 La 2.90-2.93
Au 0.5638 0.9210 0.6629  1 Pd 2.71, 1 Au 2.78, 2 La 2.90-2.93
Au 0.7419 0.1428 0.0790  1 Pd 2.71, 1 Au 2.78, 2 La 2.90-2.93
La 0.5000 0.0000 0.0000  6 Au 2.93
La 0.8750 0.2500 0.6250  4 Au 2.90
Au 0.3371 0.7581 0.4010  1 Pd 2.71, 1 Au 2.78, 2 La 2.90-2.93
La 0.0000 0.0000 0.5000  6 Au 2.93
Au 0.1428 0.7419 0.5790  1 Pd 2.71, 1 Au 2.78, 2 La 2.90-2.93
La 0.6250 0.8750 0.2500  4 Au 2.90
Au 0.0990 0.1629 0.2419  1 Pd 2.71, 1 Au 2.78, 2 La 2.90-2.93
Au 0.5990 0.8572 0.4362  1 Pd 2.71, 1 Au 2.78, 2 La 2.90-2.93
Au 0.9210 0.3572 0.2581  1 Pd 2.71, 1 Au 2.78, 2 La 2.90-2.93

Summary:
* calculated volume: 2273 Å³/cell
* density of states at the Fermi level: 0.59 states/eV per atom
* E_form: -190.6 meV per atom
* DFT total energy: -333.422 eV for the cell shown

=====

(3)
This record from Alexandria describes a relaxed BRu2S crystal. The functional is PBE.

Lattice parameters (Å, degrees): 4.9792 4.9792 5.9765 65.38 65.38 90.00
Last column: nearest neighbours and their distance in Å.
Fractional coordinates of all 8 atoms:
Ru 0.8750 0.8420 0.7500  2 B 2.04, 2 S 2.23
Ru 0.3750 0.4081 0.7500  2 B 2.04, 2 S 2.23
Ru 0.5920 0.1250 0.2500  2 B 2.04, 2 S 2.23
S 0.0000 0.0000 0.0000  4 Ru 2.23
Ru 0.1580 0.6250 0.2500  2 B 2.04, 2 S 2.23
S 0.7500 0.2500 0.5000  4 Ru 2.23
B 0.2500 0.7500 0.5000  4 Ru 2.04
B 0.5000 0.5000 0.0000  4 Ru 2.04

Summary:
* calculated volume: 120 Å³/cell
* density of states at the Fermi level: 0.69 states/eV per atom
* energy above the lowest structure with this stoichiometry: 0.0 meV per atom
* DFT total energy: -58.226 eV for the cell shown
* uncorrected formation energy: 0.0609 eV/atom

=====

(4)
This record from Alexandria describes a relaxed AgSnRh3 crystal. The functional is PBE.

Lattice parameters (Å, degrees): 4.8582 4.8582 4.8582 90.00 90.00 90.00
Last column: nearest neighbours and their distance in Å.
Fractional coordinates of all 5 atoms:
Rh 0.5000 0.0000 0.0000  2 Sn 2.43
Sn 0.0000 0.0000 0.0000  6 Rh 2.43
Ag 0.5000 0.5000 0.5000  12 Rh 3.44
Rh 0.0000 0.5000 0.0000  2 Sn 2.43
Rh 0.0000 0.0000 0.5000  2 Sn 2.43

Summary:
* calculated volume: 115 Å³/cell
* density of states at the Fermi level: 1.78 states/eV per atom
* E_form: 1106.3 meV per atom
* energy above the lowest structure with this stoichiometry: 0.0 meV per atom
* DFT total energy: -23.377 eV for the cell shown

=====

(5)
This record from Alexandria describes a relaxed TaPtRh crystal. The functional is PBE.

Lattice parameters (Å, degrees): 4.4965 4.4960 5.5128 90.00 90.00 120.00
Last column: nearest neighbours and their distance in Å.
Fractional coordinates of all 6 atoms:
Ta 0.6666 0.8332 0.7500  5 Pt 2.60-2.76
Pt 0.3333 0.1665 0.7500  5 Ta 2.60-2.76
Ta 0.3334 0.1668 0.2500  5 Pt 2.60-2.76
Pt 0.6667 0.8335 0.2500  5 Ta 2.60-2.76
Rh 0.0000 0.5000 0.5000  2 Rh 2.76, 6 Pt 2.94, 6 Ta 2.94
Rh 0.0000 0.5000 0.0000  2 Rh 2.76, 6 Pt 2.94, 6 Ta 2.94

Summary:
* calculated volume: 97 Å³/cell
* density of states at the Fermi level: 0.45 states/eV per atom
* E_form: -579.2 meV per atom
* energy above the lowest structure with this stoichiometry: 42.8 meV per atom
* DFT total energy: -53.965 eV for the cell shown

=====

(6)
This record from Alexandria describes a relaxed CsTmZrS4 crystal. The functional is PBE.

Lattice parameters (Å, degrees): 6.9127 7.0680 10.4599 90.00 121.40 90.00
Last column: nearest neighbours and their distance in Å.
Fractional coordinates of all 14 atoms:
S 0.6140 0.2500 0.8070  1 Zr 2.41
S 0.9465 0.5036 0.3190  1 Zr 2.47, 2 Tm 2.74-2.76
Tm 0.1986 0.2500 0.5433  6 S 2.74-2.76
Zr 0.7818 0.2500 0.6551  4 S 2.35-2.47
Cs 0.4056 0.2500 0.0747  6 S 3.37-3.77
S 0.5439 0.7500 0.5871  1 Zr 2.35
S 0.4561 0.2500 0.4129  1 Zr 2.35
S 0.9465 0.9964 0.3190  1 Zr 2.47, 2 Tm 2.74-2.76
S 0.3860 0.7500 0.1930  1 Zr 2.41
S 0.0535 0.0036 0.6810  1 Zr 2.47, 2 Tm 2.74-2.76
Tm 0.8014 0.7500 0.4567  6 S 2.74-2.76
S 0.0535 0.4964 0.6810  1 Zr 2.47, 2 Tm 2.74-2.76
Cs 0.5944 0.7500 0.9253  6 S 3.37-3.77
Zr 0.2182 0.7500 0.3449  4 S 2.35-2.47

Summary:
* calculated volume: 436 Å³/cell
* density of states at the Fermi level: 0.00 states/eV per atom
* DFT total energy: -83.613 eV for the cell shown
* uncorrected formation energy: -1.6319 eV/atom